The following is a PBE-GGA calculation of a relaxed structure of TlZnF3, from Alexandria.

Cell and atoms, written as POSCAR:
```
TlZnF3
1.0
19.967 0.000 -1.319
0.000 6.331 0.000
-7.050 0.000 3.182
Tl Zn F
4 4 12
direct
0.365 0.750 0.365
0.635 0.250 0.635
0.135 0.250 0.135
0.865 0.750 0.865
0.154 0.250 0.655
0.846 0.750 0.345
0.346 0.750 0.845
0.654 0.250 0.155
0.250 0.000 0.750
0.750 0.000 0.250
0.250 0.500 0.750
0.750 0.500 0.250
0.404 0.250 0.405
0.596 0.750 0.595
0.096 0.750 0.095
0.904 0.250 0.905
0.493 0.750 0.993
0.507 0.250 0.007
0.007 0.250 0.507
0.993 0.750 0.493
```

Output
Symmetry: Pmma (51)
Theoretical density: 6.323 g cm⁻³
VASP energy: -3.92 eV/atom



The following is a PBE-GGA calculation of a relaxed structure of CuPPb, from Alexandria.

Cell and atoms, written as POSCAR:
```
CuPPb
1.0
-1.612 -0.121 3.676
-2.214 -1.003 -3.197
2.566 -8.372 0.849
Cu P Pb
2 2 2
direct
0.333 0.667 0.250
0.667 0.333 0.750
0.333 0.667 0.750
0.667 0.333 0.250
0.000 0.000 0.000
0.000 0.000 0.500
```

Output
Symmetry: P6_3/mmc (194)
Theoretical density: 8.156 g cm⁻³
VASP energy: -4.42 eV/atom
Polymorph energy (0 for the lowest one): 10 meV per atom
Energy of formation from the pure elements: -18 meV/atom



The following is a PBE-GGA calculation of a relaxed structure of FeNi2H2, from Alexandria.

Cell and atoms, written as POSCAR:
```
FeNi2H2
1.0
-1.014 -1.868 1.579
-0.326 -1.591 -2.091
4.469 -3.840 0.547
Ni Fe H
2 1 2
direct
0.346 0.346 0.308
0.654 0.654 0.692
0.000 0.000 0.000
0.750 0.250 0.500
0.250 0.750 0.500
```

Output
Symmetry: I4/mmm (139)
Theoretical density: 7.396 g cm⁻³
VASP energy: -5.30 eV/atom
Polymorph energy (0 for the lowest one): 60 meV per atom



The following is a PBE-GGA calculation of a relaxed structure of ZrBe2Pb, from Alexandria.

Cell and atoms, written as POSCAR:
```
ZrBe2Pb
1.0
5.697 0.000 0.001
3.260 4.672 -0.001
-4.463 -2.367 2.635
Pb Be Zr
1 2 1
direct
0.506 0.506 0.000
0.932 0.932 0.000
0.816 0.316 0.500
0.245 0.745 0.500
```

Output
Symmetry: Imm2 (44)
Theoretical density: 7.492 g cm⁻³
VASP energy: -4.75 eV/atom
Energy of formation from the pure elements: 179 meV/atom



> Which formula does entry 4 have?

ZrBe2Pb